Below is crystalline MgFe2O4 at its relaxed geometry, with properties calculated at the GGA+U level.

```
MgFe2O4
1.0
5.9206 0.0000 0.0000
0.0000 5.9206 0.0000
0.0000 0.0000 8.3414
Fe O Mg
8 16 4
Cartesian
1.4759 0.0000 6.2560
0.0000 4.4446 4.1707
1.4699 4.4507 1.0427
4.4507 1.4699 5.2134
0.0000 1.4759 0.0000
4.4446 0.0000 2.0853
4.4507 4.4507 7.2987
1.4699 1.4699 3.1280
5.8372 4.5026 2.1988
1.4180 0.0834 8.2280
2.8511 1.4137 6.2559
0.0834 4.5026 6.1426
5.8372 1.4180 1.9719
1.4137 3.0694 4.1706
2.8511 4.5068 6.2561
0.0834 1.4180 6.3694
4.5026 0.0834 0.1134
1.4180 5.8372 4.2841
1.4137 2.8511 0.0001
4.5068 2.8511 8.3413
4.5026 5.8372 4.0573
4.5068 3.0694 4.1708
3.0694 1.4137 2.0855
3.0694 4.5068 2.0852
2.9603 1.4791 0.0000
4.4415 2.9603 2.0853
2.9603 4.4415 4.1707
1.4791 2.9603 6.2560
```

Summary:
Distance to the lowest polymorph of the same formula = 1.08 eV per formula unit
Density = 4543 kg/m³
Space group = No. 91